Entry 1:
Material: Lu2Co2O7
Method: DFT, PBE+U
State: relaxed

- Fermi-level density of states (states/eV/f.u.) = 4.9
- space group = Fd-3m (227)

a = 6.885 Å, b = 6.885 Å, c = 6.885 Å
α = 60.00°, β = 60.00°, γ = 60.00°
Sites, in units of the cell vectors:
1 Lu 0.000 0.000 0.000
2 Lu 0.000 0.000 0.500
3 Lu 0.000 0.500 0.000
4 Lu 0.500 0.000 0.000
5 Co 0.000 0.500 0.500
6 Co 0.500 0.000 0.500
7 Co 0.500 0.500 0.000
8 Co 0.500 0.500 0.500
9 O 0.125 0.125 0.125
10 O 0.170 0.170 0.580
11 O 0.170 0.580 0.170
12 O 0.170 0.580 0.580
13 O 0.420 0.420 0.830
14 O 0.420 0.830 0.420
15 O 0.420 0.830 0.830
16 O 0.580 0.170 0.170
17 O 0.580 0.170 0.580
18 O 0.580 0.580 0.170
19 O 0.830 0.420 0.420
20 O 0.830 0.420 0.830
21 O 0.830 0.830 0.420
22 O 0.875 0.875 0.875



Entry 2:
Material: LuCoO3
Method: DFT, PBE+U
State: relaxed

- space group = Pnma (62)

a = 5.448 Å, b = 7.308 Å, c = 5.069 Å
α = 90.00°, β = 90.00°, γ = 90.00°
Sites, in units of the cell vectors:
1 Lu 0.079 0.250 0.024
2 Lu 0.421 0.750 0.524
3 Lu 0.579 0.250 0.476
4 Lu 0.921 0.750 0.976
5 Co 0.000 0.000 0.500
6 Co 0.000 0.500 0.500
7 Co 0.500 0.000 0.000
8 Co 0.500 0.500 0.000
9 O 0.037 0.750 0.385
10 O 0.195 0.556 0.813
11 O 0.195 0.944 0.813
12 O 0.305 0.056 0.313
13 O 0.305 0.444 0.313
14 O 0.463 0.250 0.885
15 O 0.537 0.750 0.115
16 O 0.695 0.556 0.687
17 O 0.695 0.944 0.687
18 O 0.805 0.056 0.187
19 O 0.805 0.444 0.187
20 O 0.963 0.250 0.615



E readings, ordered: -6.95; -7.20 eV/atom